# BaTaPb2

Crystalline BaTaPb2 at its relaxed geometry (PBE, Alexandria).

abc: 5.2697 5.2697 7.1696
angles: 81.36 81.36 37.15
Positions (direct):
Ba (0.2500, 0.2500, 0.2500)
Pb (0.0157, 0.0157, 0.9407)
Pb (0.4843, 0.4843, 0.5593)
Ta (0.7500, 0.7500, 0.7500)

Output
electronic total energy = -4.97 eV per atom
symmetry = C2/m, No. 12
formation enthalpy at 0 K = 0.33 eV/atom
Fermi-level density of states = 0.91 states/eV per atom
volume = 29.7 A^3/atom